A geometry-optimized MgCo2SiTe structure, computed with GGA-PBE.

```
MgCo2SiTe
1.0
-4.2847 1.4164 1.0490
-1.8693 -4.8972 -1.0230
0.6905 -1.1879 4.4246
Si Te Co Mg
1 1 2 1
direct
0.0000 0.5000 0.0000
0.0000 0.0000 0.0000
0.0000 0.0000 0.5000
0.5000 0.0000 0.0000
0.5000 0.5000 0.5000
```

Computed properties:
energy relative to the elements, uncorrected = 1.042 eV/atom
total energy = -3.832 eV per atom